7
Lattice="6.395 0.000 0.000 -2.132 6.029 0.000 -2.132 -3.014 5.221" Properties=species:S:1:pos:R:3 comment="AcAg6 (GGA-PBE, relaxed)" ef_ev_per_fu=2.656 de_polymorph_mev_per_atom=542.1 volume_a3_per_atom=28.76 pbc="T T T"
Ag 3.197 2.261 1.305
Ag 1.066 -0.754 3.916
Ag -1.066 0.754 3.916
Ag 1.066 3.768 1.305
Ag 3.197 0.000 2.611
Ac 0.000 0.000 0.000
Ag -1.066 3.014 2.611